[1]
A relaxed Dy2Tm3Se4 crystal, computed with PBE.

Results
Magnetic moment in μB per cell: 0.00
ρ in g/cm3: 8.5
ΔE_f (raw) in eV/f.u.: -13.54
Uncorrected energy in eV/atom: -5.57
Space group: No. 12
Volume in Å³ per atom: 24.78

Cell and atoms, written as POSCAR:
```
Dy2Tm3Se4
1.0
3.936 0.000 0.003
-1.968 3.409 -0.003
-0.007 0.004 16.615
Dy Tm Se
2 3 4
Direct
0.667 0.333 0.791
0.333 0.667 0.209
0.666 0.334 0.419
0.000 0.000 0.000
0.334 0.666 0.581
0.334 0.666 0.898
0.999 0.001 0.313
0.001 0.999 0.687
0.666 0.334 0.102
```


[2]
A relaxed TiSnTe3 crystal, computed with PBE.

Results
Magnetic moment in μB per cell: 0.00
ρ in g/cm3: 5.9
ΔE_f (raw) in eV/f.u.: -0.41
Polymorph energy (0 for the lowest one) in meV per atom: 399
Uncorrected energy in eV/atom: -4.35
Space group: No. 221
Volume in Å³ per atom: 30.97

Cell and atoms, written as POSCAR:
```
TiSnTe3
1.0
5.370 0.000 0.000
0.000 5.370 0.000
0.000 0.000 5.370
Te Sn Ti
3 1 1
Direct
0.000 0.500 0.000
0.000 0.000 0.500
0.500 0.000 0.000
0.500 0.500 0.500
0.000 0.000 0.000
```


[3]
A relaxed NbSiGe crystal, computed with PBE.

Results
Magnetic moment in μB per cell: 0.00
ρ in g/cm3: 6.3
ΔE_f (raw) in eV/f.u.: 0.49
Polymorph energy (0 for the lowest one) in meV per atom: 596
Uncorrected energy in eV/atom: -6.54
Space group: No. 12
Volume in Å³ per atom: 16.89

Cell and atoms, written as POSCAR:
```
NbSiGe
1.0
4.864 0.374 -0.345
-1.775 4.544 0.345
-2.645 -1.768 4.564
Nb Ge Si
2 2 2
Direct
0.215 0.618 0.833
0.785 0.382 0.167
0.000 0.000 0.500
0.500 0.500 0.500
0.277 0.953 0.230
0.723 0.047 0.770
```


[4]
A relaxed CsRbI2 crystal, computed with PBE.

Results
Magnetic moment in μB per cell: 0.00
ρ in g/cm3: 2.4
ΔE_f (raw) in eV/f.u.: -5.19
Polymorph energy (0 for the lowest one) in meV per atom: 226
Uncorrected energy in eV/atom: -2.53
Space group: No. 166
Volume in Å³ per atom: 80.55

Cell and atoms, written as POSCAR:
```
CsRbI2
1.0
-0.632 5.842 0.219
-2.217 2.539 4.818
8.966 3.713 5.758
Cs I Rb
1 2 1
Direct
0.500 0.500 0.500
0.104 0.104 0.687
0.896 0.896 0.313
0.000 0.000 0.000
```


[5]
A relaxed Sc5Pb crystal, computed with PBE.

Results
Formation enthalpy at 0 K in eV/atom: -0.19
Magnetic moment in μB per cell: 0.87
ρ in g/cm3: 5.0
Uncorrected energy in eV/atom: -6.08
Space group: No. 65
Volume in Å³ per atom: 23.96

Cell and atoms, written as POSCAR:
```
Sc5Pb
1.0
7.345 -0.008 0.000
-5.939 4.321 0.000
0.000 0.000 4.536
Pb Sc
1 5
Direct
0.972 0.028 0.000
0.800 0.200 0.500
0.636 0.364 0.000
0.472 0.528 0.500
0.308 0.692 0.000
0.144 0.856 0.500
```


[6]
A relaxed BI3O crystal, computed with PBE.

Results
Magnetic moment in μB per cell: 0.00
ρ in g/cm3: 5.1
ΔE_f (raw) in eV/f.u.: 6.10
Polymorph energy (0 for the lowest one) in meV per atom: 0
Uncorrected energy in eV/atom: -2.04
Space group: No. 221
Volume in Å³ per atom: 26.48

Cell and atoms, written as POSCAR:
```
BI3O
1.0
5.097 0.000 0.000
0.000 5.097 0.000
0.000 0.000 5.097
I B O
3 1 1
Direct
0.000 0.500 0.000
0.000 0.000 0.500
0.500 0.000 0.000
0.500 0.500 0.500
0.000 0.000 0.000
```


[7]
A relaxed CrAg3C crystal, computed with PBE.

Results
Formation enthalpy at 0 K in eV/atom: 0.92
Magnetic moment in μB per cell: 4.74
ρ in g/cm3: 7.9
Polymorph energy (0 for the lowest one) in meV per atom: 0
Uncorrected energy in eV/atom: -4.56
Space group: No. 221
Volume in Å³ per atom: 16.30

Cell and atoms, written as POSCAR:
```
CrAg3C
1.0
4.336 0.000 0.000
0.000 4.336 0.000
0.000 0.000 4.336
Cr C Ag
1 1 3
Direct
0.500 0.500 0.500
0.000 0.000 0.000
0.000 0.500 0.000
0.000 0.000 0.500
0.500 0.000 0.000
```


[8]
A relaxed LuThRu2 crystal, computed with PBE.

Results
Formation enthalpy at 0 K in eV/atom: -0.50
Magnetic moment in μB per cell: 0.00
ρ in g/cm3: 12.3
Uncorrected energy in eV/atom: -8.12
Space group: No. 225
Volume in Å³ per atom: 20.48

Cell and atoms, written as POSCAR:
```
LuThRu2
1.0
4.876 0.000 0.000
2.438 4.216 -0.190
2.438 1.586 3.914
Ru Lu Th
2 1 1
Direct
0.000 0.000 0.000
0.500 0.500 0.500
0.750 0.750 0.750
0.250 0.250 0.250
```


[9]
A relaxed Ag2OsBr crystal, computed with PBE.

Results
Magnetic moment in μB per cell: 3.29
ρ in g/cm3: 10.0
ΔE_f (raw) in eV/f.u.: 4.64
Polymorph energy (0 for the lowest one) in meV per atom: 498
Uncorrected energy in eV/atom: -3.49
Space group: No. 122
Volume in Å³ per atom: 20.21

Cell and atoms, written as POSCAR:
```
Ag2OsBr
1.0
7.759 0.000 0.000
0.000 7.759 0.000
3.880 3.880 2.685
Os Br Ag
2 2 4
Direct
0.000 0.000 0.000
0.750 0.250 0.500
0.500 0.500 0.000
0.250 0.750 0.500
0.640 0.125 0.250
0.110 0.625 0.250
0.375 0.360 0.750
0.875 0.890 0.750
```


[10]
A relaxed TcNiW3 crystal, computed with PBE.

Results
Formation enthalpy at 0 K in eV/atom: 1.63
Magnetic moment in μB per cell: 0.00
ρ in g/cm3: 13.5
Polymorph energy (0 for the lowest one) in meV per atom: 0
Uncorrected energy in eV/atom: -9.38
Space group: No. 221
Volume in Å³ per atom: 17.37

Cell and atoms, written as POSCAR:
```
TcNiW3
1.0
4.428 0.000 0.000
0.000 4.428 0.000
0.000 0.000 4.428
Ni Tc W
1 1 3
Direct
0.000 0.000 0.000
0.500 0.500 0.500
0.000 0.500 0.000
0.000 0.000 0.500
0.500 0.000 0.000
```


[11]
A relaxed Pa2TiTe crystal, computed with PBE.

Results
Magnetic moment in μB per cell: 0.00
ρ in g/cm3: 11.9
ΔE_f (raw) in eV/f.u.: -0.81
Uncorrected energy in eV/atom: -7.71
Space group: No. 123
Volume in Å³ per atom: 22.32

Cell and atoms, written as POSCAR:
```
Pa2TiTe
1.0
4.710 0.000 0.000
0.000 4.353 0.000
0.000 0.000 4.353
Pa Te Ti
2 1 1
Direct
0.000 0.000 0.500
0.000 0.500 0.000
0.500 0.500 0.500
0.500 0.000 0.000
```


[12]
A relaxed ZnIrRu2 crystal, computed with PBE.

Results
Formation enthalpy at 0 K in eV/atom: 0.12
Magnetic moment in μB per cell: 0.00
ρ in g/cm3: 13.5
Uncorrected energy in eV/atom: -7.05
Space group: No. 65
Volume in Å³ per atom: 14.18

Cell and atoms, written as POSCAR:
```
ZnIrRu2
1.0
-2.504 -3.944 -0.973
2.721 1.456 -3.640
2.045 -1.526 0.919
Ir Ru Zn
1 2 1
Direct
0.000 0.500 0.500
0.000 0.000 0.000
0.500 0.500 0.000
0.500 0.000 0.500
```


[13]
A relaxed Pm11Cd9Ni4 crystal, computed with PBE.

Results
Formation enthalpy at 0 K in eV/atom: -0.36
Magnetic moment in μB per cell: 0.58
ρ in g/cm3: 7.8
Uncorrected energy in eV/atom: -3.84
Space group: No. 65
Volume in Å³ per atom: 25.22

Cell and atoms, written as POSCAR:
```
Pm11Cd9Ni4
1.0
-1.215 -1.447 -3.162
11.152 4.018 -6.123
1.122 -12.246 5.174
Pm Cd Ni
11 9 4
Direct
0.000 0.583 0.919
0.000 0.417 0.081
0.000 0.919 0.583
0.000 0.081 0.417
0.000 0.626 0.374
0.000 0.374 0.626
0.000 0.839 0.161
0.000 0.161 0.839
0.000 0.000 0.000
0.000 0.689 0.689
0.000 0.311 0.311
0.500 0.634 0.160
0.500 0.366 0.840
0.500 0.160 0.634
0.500 0.840 0.366
0.500 0.781 0.921
0.500 0.219 0.079
0.500 0.921 0.781
0.500 0.079 0.219
0.500 0.500 0.500
0.500 0.549 0.750
0.500 0.451 0.250
0.500 0.750 0.549
0.500 0.250 0.451
```


[14]
A relaxed MnZnW2 crystal, computed with PBE.

Results
Formation enthalpy at 0 K in eV/atom: 0.22
Magnetic moment in μB per cell: 1.29
ρ in g/cm3: 13.9
Uncorrected energy in eV/atom: -8.87
Space group: No. 65
Volume in Å³ per atom: 14.62

Cell and atoms, written as POSCAR:
```
MnZnW2
1.0
2.675 0.006 0.000
-0.749 2.568 0.000
0.000 0.000 8.510
Mn W Zn
1 2 1
Direct
0.500 0.500 0.750
0.000 0.000 0.988
0.000 0.000 0.512
0.500 0.500 0.250
```


[15]
A relaxed TiCdCl2 crystal, computed with PBE.

Results
Magnetic moment in μB per cell: 0.00
ρ in g/cm3: 4.4
ΔE_f (raw) in eV/f.u.: -3.86
Polymorph energy (0 for the lowest one) in meV per atom: 0
Uncorrected energy in eV/atom: -4.09
Space group: No. 166
Volume in Å³ per atom: 21.68

Cell and atoms, written as POSCAR:
```
TiCdCl2
1.0
1.834 0.000 9.919
-0.917 1.589 9.919
-0.917 -1.589 9.919
Cl Ti Cd
2 1 1
Direct
0.889 0.889 0.889
0.111 0.111 0.111
0.500 0.500 0.500
0.000 0.000 0.000
```


[16]
A relaxed ZrReTc3 crystal, computed with PBE.

Results
Formation enthalpy at 0 K in eV/atom: 1.15
Magnetic moment in μB per cell: 0.00
ρ in g/cm3: 9.4
Polymorph energy (0 for the lowest one) in meV per atom: 0
Uncorrected energy in eV/atom: -9.27
Space group: No. 221
Volume in Å³ per atom: 20.25

Cell and atoms, written as POSCAR:
```
ZrReTc3
1.0
-3.899 -2.308 -1.095
2.498 -3.029 -2.513
0.533 -2.688 3.770
Re Tc Zr
1 3 1
Direct
0.000 0.000 0.000
0.000 0.500 0.000
0.000 0.000 0.500
0.500 0.000 0.000
0.500 0.500 0.500
```


[17]
A relaxed Cu2SiAu crystal, computed with PBE.

Results
Magnetic moment in μB per cell: 0.00
ρ in g/cm3: 10.4
ΔE_f (raw) in eV/f.u.: 0.16
Uncorrected energy in eV/atom: -4.18
Space group: No. 123
Volume in Å³ per atom: 13.99

Cell and atoms, written as POSCAR:
```
Cu2SiAu
1.0
-1.693 -3.171 -1.293
2.940 -0.606 -2.362
1.763 -2.050 2.721
Si Au Cu
1 1 2
Direct
0.500 0.000 0.500
0.000 0.500 0.500
0.000 0.000 0.000
0.500 0.500 0.000
```


[18]
A relaxed Nd5SmSe8 crystal, computed with PBE.

Results
Magnetic moment in μB per cell: 0.00
ρ in g/cm3: 6.9
ΔE_f (raw) in eV/f.u.: -25.97
Uncorrected energy in eV/atom: -5.89
Space group: No. 82
Volume in Å³ per atom: 25.75

Cell and atoms, written as POSCAR:
```
Nd5SmSe8
1.0
-3.395 3.240 6.190
-5.533 -2.026 -5.062
3.999 -6.366 1.954
Nd Sm Se
5 1 8
Direct
0.025 0.401 0.126
0.874 0.899 0.275
0.725 0.599 0.624
0.500 0.000 0.500
0.376 0.101 0.975
0.250 0.500 0.750
0.129 0.756 0.020
0.980 0.109 0.736
0.773 0.257 0.377
0.623 0.396 0.879
0.484 0.604 0.227
0.626 0.891 0.871
0.264 0.244 0.374
0.121 0.743 0.516
```


[19]
A relaxed Ag2TeCl crystal, computed with PBE.

Results
Magnetic moment in μB per cell: 0.00
ρ in g/cm3: 7.1
ΔE_f (raw) in eV/f.u.: 0.91
Polymorph energy (0 for the lowest one) in meV per atom: 421
Uncorrected energy in eV/atom: -2.44
Space group: No. 216
Volume in Å³ per atom: 22.23

Cell and atoms, written as POSCAR:
```
Ag2TeCl
1.0
-4.777 -1.217 -0.894
-1.542 -4.724 0.637
-3.047 -1.148 3.807
Te Ag Cl
1 2 1
Direct
0.750 0.750 0.750
0.000 0.000 0.000
0.250 0.250 0.250
0.500 0.500 0.500
```


[20]
A relaxed PmPrSnHg crystal, computed with PBE.

Results
Formation enthalpy at 0 K in eV/atom: -0.60
Magnetic moment in μB per cell: 0.00
ρ in g/cm3: 8.8
Polymorph energy (0 for the lowest one) in meV per atom: 0
Uncorrected energy in eV/atom: -4.06
Space group: No. 216
Volume in Å³ per atom: 28.65

Cell and atoms, written as POSCAR:
```
PmPrSnHg
1.0
5.452 0.000 0.000
2.726 4.722 0.000
2.726 1.574 4.451
Pr Hg Sn Pm
1 1 1 1
Direct
0.000 0.000 0.000
0.750 0.750 0.750
0.250 0.250 0.250
0.500 0.500 0.500
```